Below is ZrTe2Cl after structural relaxation, with properties calculated at the PBE level.

## Properties
energy relative to the elements, uncorrected	-1.91	eV per formula unit
calculated total energy	-4.65	eV per atom
SG	No. 12
Fermi-level density of states	2.2	states/eV per cell

Geometry as extended XYZ:
```
4
Lattice="-3.297 2.487 -3.506 -2.429 -0.941 -4.750 -5.074 -1.855 1.573" Properties=species:S:1:pos:R:3 pbc="T T T"
Cl -8.100 -0.232 -5.013
Te -5.772 1.420 -7.943
Te -5.354 -0.030 -3.654
Zr -2.700 -0.077 -1.671
```